{"formula": "ZrPaMo", "functional": "PBE-GGA", "state": "relaxed", "lattice": [[0.000, 3.311, 3.311], [3.311, 0.000, 3.311], [3.311, 3.311, 0.000]], "species": ["Zr", "Pa", "Mo"], "frac_coords": [[0.000, 0.000, 0.000], [0.500, 0.500, 0.500], [0.750, 0.750, 0.750]], "sg": "F-43m, No. 216", "ef_kj_per_mol_atoms": 33.7, "relative_energy_kj_per_mol_atoms": 0.0}


{"formula": "InAgOsO3", "functional": "PBE-GGA", "state": "relaxed", "lattice": [[9.781, 0.000, 0.000], [0.000, 3.222, 0.000], [0.000, 0.000, 10.120]], "species": ["In", "In", "In", "In", "Ag", "Ag", "Ag", "Ag", "Os", "Os", "Os", "Os", "O", "O", "O", "O", "O", "O", "O", "O", "O", "O", "O", "O"], "frac_coords": [[0.202, 0.250, 0.131], [0.298, 0.750, 0.631], [0.702, 0.250, 0.369], [0.798, 0.750, 0.869], [0.089, 0.750, 0.924], [0.411, 0.250, 0.424], [0.589, 0.750, 0.576], [0.911, 0.250, 0.076], [0.028, 0.750, 0.399], [0.472, 0.250, 0.899], [0.528, 0.750, 0.101], [0.972, 0.250, 0.601], [0.065, 0.750, 0.691], [0.138, 0.250, 0.481], [0.179, 0.750, 0.274], [0.321, 0.250, 0.774], [0.362, 0.750, 0.981], [0.435, 0.250, 0.191], [0.565, 0.750, 0.809], [0.638, 0.250, 0.019], [0.679, 0.750, 0.226], [0.821, 0.250, 0.726], [0.862, 0.750, 0.519], [0.935, 0.250, 0.309]], "sg": "Pnma, No. 62"}


{"formula": "NdScPO", "functional": "PBE-GGA", "state": "relaxed", "lattice": [[4.215, 0.000, 0.000], [0.000, 4.921, 0.000], [0.000, 0.000, 7.055]], "species": ["Nd", "Nd", "Sc", "Sc", "P", "P", "O", "O"], "frac_coords": [[0.000, 0.151, 0.000], [0.000, 0.849, 0.500], [0.500, 0.348, 0.357], [0.500, 0.652, 0.857], [0.500, 0.148, 0.706], [0.500, 0.852, 0.206], [0.000, 0.340, 0.346], [0.000, 0.660, 0.846]], "sg": "Pmc2_1, No. 26", "relative_energy_kj_per_mol_atoms": 0.0}


{"formula": "LiErGe", "functional": "PBE-GGA", "state": "relaxed", "lattice": [[0.000, 3.095, 3.095], [3.095, 0.000, 3.095], [3.095, 3.095, 0.000]], "species": ["Li", "Er", "Ge"], "frac_coords": [[0.000, 0.000, 0.000], [0.750, 0.750, 0.750], [0.250, 0.250, 0.250]], "sg": "F-43m, No. 216", "relative_energy_kj_per_mol_atoms": 27.9}


no.,energy (eV for the cell shown)
1,-27.84
2,-143.29
3,-59.68
4,-12.37